No. 1
{
  "formula": "Rb2AgBiBr6",
  "functional": "PBEsol",
  "state": "relaxed",
  "rho_g_cm3": 4.65,
  "m_tot_mub_per_fu": 0.000,
  "e_tot_ev_per_atom": -3.14,
  "e_form_raw_mev_per_atom": -1055,
  "lattice": [[7.875, 0.000, 0.000], [3.938, 6.820, 0.000], [3.938, 2.273, 6.430]],
  "species": ["Rb", "Rb", "Ag", "Bi", "Br", "Br", "Br", "Br", "Br", "Br"],
  "frac_coords": [[0.750, 0.750, 0.750], [0.250, 0.250, 0.250], [0.500, 0.500, 0.500], [0.000, 0.000, 0.000], [0.746, 0.254, 0.254], [0.746, 0.746, 0.254], [0.254, 0.746, 0.746], [0.746, 0.254, 0.746], [0.254, 0.746, 0.254], [0.254, 0.254, 0.746]]
}

No. 2
{
  "formula": "MnRuPt2Se",
  "functional": "PBEsol",
  "state": "relaxed",
  "rho_g_cm3": 11.31,
  "m_tot_mub_per_fu": 6.036,
  "e_tot_ev_per_atom": -6.43,
  "e_form_raw_mev_per_atom": 1110,
  "lattice": [[-2.136, -2.741, -2.664], [3.968, -1.973, -1.151], [-0.480, -2.976, 3.446]],
  "species": ["Ru", "Mn", "Se", "Pt", "Pt"],
  "frac_coords": [[0.500, 0.500, 0.500], [0.500, 0.000, 0.000], [0.000, 0.000, 0.000], [0.000, 0.000, 0.500], [0.000, 0.500, 0.000]]
}

No. 3
{
  "formula": "Li3ZnNi",
  "functional": "PBEsol",
  "state": "relaxed",
  "rho_g_cm3": 2.77,
  "m_tot_mub_per_fu": 0.000,
  "e_tot_ev_per_atom": -2.30,
  "e_form_ev_per_fu": 2.13,
  "lattice": [[-1.220, 2.965, 3.058], [-3.946, -1.986, 0.351], [1.605, -2.626, 3.187]],
  "species": ["Ni", "Zn", "Li", "Li", "Li"],
  "frac_coords": [[0.000, 0.000, 0.000], [0.500, 0.500, 0.500], [0.000, 0.500, 0.000], [0.000, 0.000, 0.500], [0.500, 0.000, 0.000]]
}

No. 4
{
  "formula": "TlCrTc2",
  "functional": "PBEsol",
  "state": "relaxed",
  "relative_energy_mev_per_atom": 219,
  "rho_g_cm3": 12.32,
  "m_tot_mub_per_fu": 0.906,
  "e_tot_ev_per_atom": -8.10,
  "e_form_ev_per_fu": 3.01,
  "lattice": [[2.953, 0.000, 0.000], [0.000, 4.672, -0.004], [0.000, -1.510, 4.422]],
  "species": ["Cr", "Tc", "Tc", "Tl"],
  "frac_coords": [[0.500, 0.500, 0.500], [0.000, 0.500, 0.000], [0.000, 0.000, 0.500], [0.500, 0.000, 0.000]]
}

No. 5
{
  "formula": "BeSeO2F",
  "functional": "PBEsol",
  "state": "relaxed",
  "rho_g_cm3": 3.66,
  "m_tot_mub_per_fu": 0.604,
  "e_tot_ev_per_atom": -4.13,
  "e_form_raw_mev_per_atom": -75,
  "lattice": [[3.867, 0.000, 0.000], [0.000, 3.867, 0.000], [0.000, 0.000, 4.213]],
  "species": ["Be", "O", "O", "Se", "F"],
  "frac_coords": [[0.500, 0.500, 0.500], [0.000, 0.500, 0.000], [0.500, 0.000, 0.000], [0.000, 0.000, 0.000], [0.000, 0.000, 0.500]]
}

No. 6
{
  "formula": "KCl",
  "functional": "PBEsol",
  "state": "relaxed",
  "rho_g_cm3": 2.38,
  "m_tot_mub_per_fu": 0.000,
  "e_tot_ev_per_atom": -3.46,
  "e_form_raw_mev_per_atom": -1887,
  "lattice": [[-3.603, -0.547, -0.816], [0.868, -0.321, -3.618], [0.460, -3.680, 0.437]],
  "species": ["K", "Cl"],
  "frac_coords": [[0.000, 0.000, 0.000], [0.500, 0.500, 0.500]]
}

No. 7
{
  "formula": "Sr2MnOs",
  "functional": "PBEsol",
  "state": "relaxed",
  "relative_energy_mev_per_atom": 627,
  "rho_g_cm3": 7.26,
  "m_tot_mub_per_fu": 3.772,
  "e_tot_ev_per_atom": -5.19,
  "e_form_ev_per_fu": 4.89,
  "lattice": [[-2.652, -0.762, -1.859], [-1.893, -2.618, 0.796], [-7.238, 4.759, 5.398]],
  "species": ["Mn", "Os", "Sr", "Sr"],
  "frac_coords": [[0.500, 0.500, 0.500], [0.000, 0.000, 0.000], [0.259, 0.259, 0.224], [0.741, 0.741, 0.776]]
}

No. 8
{
  "formula": "SnPtF2",
  "functional": "PBEsol",
  "state": "relaxed",
  "relative_energy_mev_per_atom": 300,
  "rho_g_cm3": 10.36,
  "m_tot_mub_per_fu": 0.000,
  "e_tot_ev_per_atom": -4.40,
  "e_form_raw_mev_per_atom": -629,
  "lattice": [[-2.310, 3.293, 1.529], [0.091, 0.925, 4.202], [1.982, 3.563, 1.377]],
  "species": ["Sn", "Pt", "F", "F"],
  "frac_coords": [[0.000, 0.000, 0.000], [0.500, 0.500, 0.500], [0.250, 0.250, 0.250], [0.750, 0.750, 0.750]]
}

No. 9
{
  "formula": "LaNb2Ga2",
  "functional": "PBEsol",
  "state": "relaxed",
  "rho_g_cm3": 7.55,
  "m_tot_mub_per_fu": 0.000,
  "e_tot_ev_per_atom": -7.08,
  "e_form_ev_per_fu": -1.74,
  "lattice": [[-3.343, 1.218, 1.899], [1.228, -1.867, 3.358], [4.004, 5.556, -0.797]],
  "species": ["Nb", "Nb", "Ga", "Ga", "La"],
  "frac_coords": [[0.250, 0.750, 0.500], [0.750, 0.250, 0.500], [0.398, 0.398, 0.796], [0.602, 0.602, 0.204], [0.000, 0.000, 0.000]]
}

No. 10
{
  "formula": "GeSb2Au",
  "functional": "PBEsol",
  "state": "relaxed",
  "rho_g_cm3": 7.38,
  "m_tot_mub_per_fu": 0.000,
  "e_tot_ev_per_atom": -4.42,
  "e_form_raw_mev_per_atom": 75,
  "lattice": [[-5.169, -1.253, -3.205], [-1.202, -4.761, 3.800], [0.075, 6.658, 3.292]],
  "species": ["Sb", "Sb", "Sb", "Sb", "Ge", "Ge", "Au", "Au"],
  "frac_coords": [[0.371, 0.875, 0.250], [0.879, 0.375, 0.250], [0.125, 0.121, 0.750], [0.625, 0.629, 0.750], [0.750, 0.250, 0.500], [0.500, 0.500, 0.000], [0.250, 0.750, 0.500], [0.000, 0.000, 0.000]]
}

No. 11
{
  "formula": "LiZn2Cd2",
  "functional": "PBEsol",
  "state": "relaxed",
  "rho_g_cm3": 6.51,
  "m_tot_mub_per_fu": 0.000,
  "e_tot_ev_per_atom": -1.52,
  "e_form_ev_per_fu": -0.07,
  "lattice": [[-2.697, -0.303, 2.441], [1.210, -3.317, 0.925], [4.814, 4.647, 3.167]],
  "species": ["Zn", "Zn", "Li", "Cd", "Cd"],
  "frac_coords": [[0.250, 0.750, 0.500], [0.750, 0.250, 0.500], [0.000, 0.000, 0.000], [0.401, 0.401, 0.801], [0.599, 0.599, 0.199]]
}

No. 12
{
  "formula": "MnBeSi2",
  "functional": "PBEsol",
  "state": "relaxed",
  "rho_g_cm3": 4.44,
  "m_tot_mub_per_fu": 1.673,
  "e_tot_ev_per_atom": -6.26,
  "e_form_raw_mev_per_atom": 49,
  "lattice": [[-0.327, -2.473, 0.440], [2.365, -0.293, -0.860], [2.473, 0.833, 6.519]],
  "species": ["Be", "Si", "Si", "Mn"],
  "frac_coords": [[0.500, 0.500, 0.500], [0.000, 0.000, 0.246], [0.000, 0.000, 0.754], [0.500, 0.500, 0.000]]
}

No. 13
{
  "formula": "HgPt2W",
  "functional": "PBEsol",
  "state": "relaxed",
  "rho_g_cm3": 19.82,
  "m_tot_mub_per_fu": 0.000,
  "e_tot_ev_per_atom": -6.94,
  "e_form_ev_per_fu": 0.55,
  "lattice": [[2.840, 0.000, 0.000], [1.420, 2.460, 0.000], [1.420, 0.820, 9.286]],
  "species": ["Hg", "Pt", "Pt", "W"],
  "frac_coords": [[0.250, 0.250, 0.249], [0.003, 0.003, 0.991], [0.752, 0.752, 0.743], [0.494, 0.494, 0.517]]
}

No. 14
{
  "formula": "LaSeS2",
  "functional": "PBEsol",
  "state": "relaxed",
  "rho_g_cm3": 3.79,
  "m_tot_mub_per_fu": 0.927,
  "e_tot_ev_per_atom": -5.48,
  "e_form_raw_mev_per_atom": -993,
  "lattice": [[4.324, 0.000, 0.000], [2.162, 3.745, 0.000], [2.162, 1.248, 7.621]],
  "species": ["S", "S", "Se", "La"],
  "frac_coords": [[0.894, 0.894, 0.319], [0.106, 0.106, 0.681], [0.000, 0.000, 0.000], [0.500, 0.500, 0.500]]
}

No. 15
{
  "formula": "HfAlS2Cl",
  "functional": "PBEsol",
  "state": "relaxed",
  "rho_g_cm3": 5.50,
  "m_tot_mub_per_fu": 0.938,
  "e_tot_ev_per_atom": -5.41,
  "e_form_raw_mev_per_atom": -332,
  "lattice": [[4.370, 0.000, 0.000], [0.000, 4.592, 0.000], [0.000, 0.000, 4.592]],
  "species": ["S", "S", "Hf", "Al", "Cl"],
  "frac_coords": [[0.000, 0.000, 0.500], [0.000, 0.500, 0.000], [0.500, 0.500, 0.500], [0.000, 0.000, 0.000], [0.500, 0.000, 0.000]]
}

No. 16
{
  "formula": "ScTc2Br",
  "functional": "PBEsol",
  "state": "relaxed",
  "relative_energy_mev_per_atom": 290,
  "rho_g_cm3": 8.04,
  "m_tot_mub_per_fu": 0.001,
  "e_tot_ev_per_atom": -7.24,
  "e_form_raw_mev_per_atom": 507,
  "lattice": [[-2.119, -1.992, -0.664], [-0.123, -1.192, -2.731], [4.443, -7.429, 1.414]],
  "species": ["Br", "Sc", "Tc", "Tc"],
  "frac_coords": [[0.500, 0.500, 0.500], [0.000, 0.000, 0.000], [0.247, 0.247, 0.260], [0.753, 0.753, 0.740]]
}

No. 17
{
  "formula": "LaSiP3",
  "functional": "PBEsol",
  "state": "relaxed",
  "rho_g_cm3": 4.21,
  "m_tot_mub_per_fu": 0.000,
  "e_tot_ev_per_atom": -6.35,
  "e_form_raw_mev_per_atom": -661,
  "lattice": [[-5.387, -1.280, 1.086], [1.171, -5.546, -0.728], [5.484, -2.091, 24.736]],
  "species": ["La", "La", "La", "La", "La", "La", "La", "La", "Si", "Si", "Si", "Si", "Si", "Si", "Si", "Si", "P", "P", "P", "P", "P", "P", "P", "P", "P", "P", "P", "P", "P", "P", "P", "P", "P", "P", "P", "P", "P", "P", "P", "P"],
  "frac_coords": [[0.999, 0.999, 0.591], [0.999, 0.499, 0.909], [0.001, 0.501, 0.091], [0.501, 0.499, 0.409], [0.001, 0.001, 0.409], [0.499, 0.501, 0.591], [0.499, 0.001, 0.909], [0.501, 0.999, 0.091], [0.098, 0.587, 0.707], [0.402, 0.587, 0.207], [0.098, 0.087, 0.793], [0.902, 0.913, 0.207], [0.598, 0.413, 0.793], [0.902, 0.413, 0.293], [0.598, 0.913, 0.707], [0.402, 0.087, 0.293], [0.750, 0.250, 0.000], [0.995, 0.464, 0.788], [0.495, 0.536, 0.712], [0.995, 0.964, 0.712], [0.503, 0.994, 0.374], [0.503, 0.494, 0.126], [0.750, 0.250, 0.500], [0.250, 0.250, 0.500], [0.505, 0.464, 0.288], [0.497, 0.506, 0.874], [0.250, 0.750, 0.000], [0.003, 0.506, 0.374], [0.997, 0.994, 0.874], [0.495, 0.036, 0.788], [0.005, 0.536, 0.212], [0.250, 0.750, 0.500], [0.497, 0.006, 0.626], [0.997, 0.494, 0.626], [0.505, 0.964, 0.212], [0.005, 0.036, 0.288], [0.003, 0.006, 0.126], [0.750, 0.750, 0.000], [0.750, 0.750, 0.500], [0.250, 0.250, 0.000]]
}

No. 18
{
  "formula": "RbCrGePt2",
  "functional": "PBEsol",
  "state": "relaxed",
  "rho_g_cm3": 8.97,
  "m_tot_mub_per_fu": 4.010,
  "e_tot_ev_per_atom": -5.50,
  "e_form_ev_per_fu": 2.64,
  "lattice": [[-1.888, 4.385, 0.158], [-2.843, -1.354, 3.592], [3.408, 1.351, 3.207]],
  "species": ["Cr", "Ge", "Rb", "Pt", "Pt"],
  "frac_coords": [[0.000, 0.000, 0.500], [0.000, 0.000, 0.000], [0.500, 0.500, 0.500], [0.000, 0.500, 0.000], [0.500, 0.000, 0.000]]
}

No. 19
{
  "formula": "TlIrCl",
  "functional": "PBEsol",
  "state": "relaxed",
  "relative_energy_mev_per_atom": 0,
  "rho_g_cm3": 13.22,
  "m_tot_mub_per_fu": 0.000,
  "e_tot_ev_per_atom": -4.32,
  "e_form_raw_mev_per_atom": 498,
  "lattice": [[-0.214, -0.324, -3.169], [4.420, -0.004, -0.298], [-2.188, -3.815, 0.537]],
  "species": ["Tl", "Ir", "Cl"],
  "frac_coords": [[0.500, 0.333, 0.667], [0.000, 0.667, 0.333], [0.000, 0.000, 0.000]]
}

No. 20
{
  "formula": "Sc2H2S",
  "functional": "PBEsol",
  "state": "relaxed",
  "rho_g_cm3": 3.57,
  "m_tot_mub_per_fu": 0.362,
  "e_tot_ev_per_atom": -5.89,
  "lattice": [[3.236, 0.000, 0.000], [0.000, 3.236, 0.000], [-1.618, -1.618, 5.514]],
  "species": ["Sc", "Sc", "H", "H", "S"],
  "frac_coords": [[0.364, 0.364, 0.728], [0.636, 0.636, 0.272], [0.250, 0.750, 0.500], [0.750, 0.250, 0.500], [0.000, 0.000, 0.000]]
}